The following is a PBE-GGA calculation of a relaxed structure of NiOsSe2, from Alexandria.

Cell lengths 3.5531, 3.8118, 12.7443 Å; angles 90.00, 90.00, 90.00 degrees
Space group Immm (No. 71)
Inequivalent atoms, fractional coordinates:
Ni1 0.0000 0.0000 0.0000
Os1 0.0000 0.0000 0.5000
Se1 0.0000 0.5000 0.3728

Computed properties:
- Formation energy (no corrections): 0.12 eV/atom
- VASP energy: -0.432 Ry/atom
- Energy above the most stable polymorph in this dataset: 106 meV/atom